No. 1
SmLuCoHg GGA-PBE optimized geometry; energy of formation = -0.203 eV/atom; electronic total energy = -4.365 eV per atom; SG = F-43m (216)
1.0
0.0000 3.5570 3.5570
3.5570 0.0000 3.5570
3.5570 3.5570 0.0000
Sm Lu Co Hg
1 1 1 1
Cartesian
0.0000 0.0000 0.0000 Sm
3.5570 3.5570 3.5570 Lu
5.3355 5.3355 5.3355 Co
1.7785 1.7785 1.7785 Hg

No. 2
TbLuCoHg GGA-PBE optimized geometry; energy of formation = -0.237 eV/atom; electronic total energy = -4.377 eV per atom; SG = F-43m (216)
1.0
0.0000 3.5232 3.5232
3.5232 0.0000 3.5232
3.5232 3.5232 0.0000
Tb Lu Co Hg
1 1 1 1
Cartesian
0.0000 0.0000 0.0000 Tb
3.5232 3.5232 3.5232 Lu
5.2848 5.2848 5.2848 Co
1.7616 1.7616 1.7616 Hg

No. 3
YLuCoHg GGA-PBE optimized geometry; energy of formation = -0.244 eV/atom; electronic total energy = -4.842 eV per atom; SG = F-43m (216)
1.0
0.0000 3.5211 3.5211
3.5211 0.0000 3.5211
3.5211 3.5211 0.0000
Y Lu Co Hg
1 1 1 1
Cartesian
0.0000 0.0000 0.0000 Y
3.5211 3.5211 3.5211 Lu
5.2817 5.2817 5.2817 Co
1.7606 1.7606 1.7606 Hg

No. 4
MgCo2Hg GGA-PBE optimized geometry; energy of formation = 0.528 eV/atom; electronic total energy = -3.499 eV per atom; SG = I-42d (122)
1.0
-1.9039 1.9039 9.3456
1.9039 -1.9039 9.3456
1.9039 1.9039 -9.3456
Mg Co Hg
2 4 2
Cartesian
0.0000 0.0000 0.0000 Mg
0.0000 1.9039 4.6728 Mg
2.8559 0.7079 -2.3364 Co
0.7079 0.9520 2.3364 Co
-0.9520 1.1961 7.0092 Co
1.1961 0.9520 11.6820 Co
1.9039 0.0000 4.6728 Hg
0.0000 0.0000 9.3456 Hg

No. 5
MgCo2Hg GGA-PBE optimized geometry; energy of formation = 0.311 eV/atom; electronic total energy = -3.716 eV per atom; SG = C2/m (12)
1.0
4.5577 -1.5156 0.0000
4.5577 1.5156 0.0000
-1.1149 0.0000 4.5011
Mg Co Hg
1 2 1
Cartesian
0.0000 0.0000 0.0000 Mg
1.3913 0.0000 3.5708 Co
6.6092 0.0000 0.9302 Co
4.0003 0.0000 2.2505 Hg

No. 6
MgCoHg3 GGA-PBE optimized geometry; energy of formation = 0.353 eV/atom; electronic total energy = -1.569 eV per atom; SG = Pm-3m (221)
1.0
5.0114 0.0000 0.0000
0.0000 5.0114 0.0000
0.0000 0.0000 5.0114
Mg Co Hg
1 1 3
Cartesian
0.0000 0.0000 0.0000 Mg
2.5057 2.5057 2.5057 Co
0.0000 2.5057 2.5057 Hg
2.5057 0.0000 2.5057 Hg
2.5057 2.5057 0.0000 Hg

No. 7
Mg4CoHg GGA-PBE optimized geometry; energy of formation = 0.393 eV/atom; electronic total energy = -1.905 eV per atom; SG = F-43m (216)
1.0
0.0000 3.9356 3.9356
3.9356 0.0000 3.9356
3.9356 3.9356 0.0000
Mg Co Hg
4 1 1
Cartesian
0.9800 0.9800 0.9800 Mg
2.9557 2.9557 0.9800 Mg
2.9557 0.9800 2.9557 Mg
0.9800 2.9557 2.9557 Mg
5.9034 5.9034 5.9034 Co
3.9356 3.9356 3.9356 Hg

No. 8
Mg2CoHg2 GGA-PBE optimized geometry; energy of formation = 0.172 eV/atom; electronic total energy = -2.007 eV per atom; SG = P4/mbm (127)
1.0
7.0333 0.0000 0.0000
0.0000 7.0333 0.0000
0.0000 0.0000 4.0872
Mg Co Hg
4 2 4
Cartesian
1.1601 2.3565 0.0000 Mg
2.3565 5.8732 0.0000 Mg
4.6768 1.1601 0.0000 Mg
5.8732 4.6768 0.0000 Mg
0.0000 0.0000 2.0436 Co
3.5167 3.5167 2.0436 Co
1.0463 4.5630 2.0436 Hg
2.4703 1.0463 2.0436 Hg
4.5630 5.9870 2.0436 Hg
5.9870 2.4703 2.0436 Hg

- Number 4 is which compound?
  MgCo2Hg

- Look up the electronic total energy of the fourth one.
  -3.499 eV per atom

- Look up the energy of formation of the eighth one.
  0.172 eV/atom

- Which of these has the lowest energy of formation?
  YLuCoHg